#one
Entry from the Alexandria database: a relaxed structure of TePPd4 (GGA-PBE).

The calculation puts the density of states at the Fermi level at 11.630 states/eV per cell.

The space group is C2/c (No. 15) and the conventional cell measures 12.868, 6.208 and 5.393 Å, with angles of 90.00, 98.47 and 90.00 degrees. Symmetry generates all atoms from Te at (0.000, 0.185, 0.250), P at (0.250, 0.250, 0.000), Pd at (0.099, 0.439, 0.911) and Pd at (0.186, 0.092, 0.611).

=====

#two
Entry from the Alexandria database: a relaxed structure of TePPd4 (GGA-PBE).

The calculation puts the density of states at the Fermi level at 14.057 states/eV per cell.

The space group is C2/c (No. 15) and the conventional cell measures 6.331, 9.240 and 7.128 Å, with angles of 90.00, 101.77 and 90.00 degrees. Symmetry generates all atoms from Te at (0.000, 0.088, 0.250), P at (0.000, 0.430, 0.250), Pd at (0.160, 0.394, 0.969) and Pd at (0.163, 0.178, 0.639).

=====

Which structure wins on stability? #one wins.

=====

#one
Entry from the Alexandria database: a relaxed structure of Th2PPd (GGA-PBE).

The calculation puts the density of states at the Fermi level at 11.315 states/eV per cell.

The space group is R3m (No. 160, hexagonal axes) and the conventional cell measures 3.9995, 3.9995 and 22.3361 Å, with angles of 90.00, 90.00 and 120.00 degrees. Symmetry generates all atoms from Th at (0.0000, 0.0000, 0.0000), Th at (0.0000, 0.0000, 0.1767), P at (0.0000, 0.0000, 0.5871) and Pd at (0.0000, 0.0000, 0.7551).

=====

#two
Entry from the Alexandria database: a relaxed structure of Th2PPd (GGA-PBE).

The calculation puts the density of states at the Fermi level at 7.679 states/eV per cell.

The space group is R-3m (No. 166, hexagonal axes) and the conventional cell measures 3.7510, 3.7510 and 27.0809 Å, with angles of 90.00, 90.00 and 120.00 degrees. Symmetry generates all atoms from Th at (0.0000, 0.0000, 0.1001), P at (0.0000, 0.0000, 0.5000) and Pd at (0.0000, 0.0000, 0.0000).

=====

Which structure wins on stability? #one wins.

=====

#one
Entry from the Alexandria database: a relaxed structure of TiPPd3 (GGA-PBE).

The calculation puts the density of states at the Fermi level at 3.570 states/eV per cell.

The space group is Pm-3m (No. 221) and the conventional cell measures 4.633, 4.633 and 4.633 Å, with angles of 90.00, 90.00 and 90.00 degrees. Symmetry generates all atoms from Ti at (0.000, 0.000, 0.000), P at (0.500, 0.500, 0.500) and Pd at (0.000, 0.000, 0.500).

=====

#two
Entry from the Alexandria database: a relaxed structure of TiPPd3 (GGA-PBE).

The calculation puts the density of states at the Fermi level at 15.678 states/eV per cell.

The space group is Pm-3m (No. 221) and the conventional cell measures 4.468, 4.468 and 4.468 Å, with angles of 90.00, 90.00 and 90.00 degrees. Symmetry generates all atoms from Ti at (0.000, 0.000, 0.000), P at (0.500, 0.500, 0.500) and Pd at (0.000, 0.500, 0.500).

=====

Which structure wins on stability? #two wins.

=====

#one
Entry from the Alexandria database: a relaxed structure of Tl2PPd (GGA-PBE).

The calculation puts the density of states at the Fermi level at 5.344 states/eV per cell.

The space group is Fm-3m (No. 225) and the conventional cell measures 7.008, 7.008 and 7.008 Å, with angles of 90.00, 90.00 and 90.00 degrees. Symmetry generates all atoms from Tl at (0.250, 0.250, 0.250), P at (0.000, 0.000, 0.000) and Pd at (0.000, 0.000, 0.500).

=====

#two
Entry from the Alexandria database: a relaxed structure of Tl2PPd (GGA-PBE).

The calculation puts the density of states at the Fermi level at 6.556 states/eV per cell.

The space group is I-42d (No. 122) and the conventional cell measures 7.022, 7.022 and 8.529 Å, with angles of 90.00, 90.00 and 90.00 degrees. Symmetry generates all atoms from Tl at (0.243, 0.250, 0.125), P at (0.000, 0.000, 0.000) and Pd at (0.000, 0.000, 0.500).

=====

Which structure wins on stability? #one wins.